1.
Compound: NdDyNiPd
Source: Alexandria via LeMat-Bulk
Functional: PBE-GGA
Structure: relaxed

Results
As for the distance to the lowest polymorph of the same formula: 0 meV/atom.

Unit cell a=4.4775 b=3.8391 c=10.4186 alpha=90.00 beta=90.00 gamma=90.00
Last column: nearest neighbours and their distance in Å.
Space group Amm2 (No. 38)
Unique sites:
Nd  0.0000  0.0000  0.0000 x2  3 Ni 2.88-3.02, 4 Pd 3.03
Dy  0.5000  0.0000  0.2781 x2  3 Pd 2.93-3.00, 4 Ni 3.00
Ni  0.0000  0.0000  0.7234 x2  2 Pd 2.78, 3 Nd 2.88-3.02, 4 Dy 3.00
Pd  0.5000  0.0000  0.5655 x2  2 Ni 2.78, 3 Dy 2.93-3.00, 4 Nd 3.03

2.
Compound: NdDyNiPd
Source: Alexandria via LeMat-Bulk
Functional: PBE-GGA
Structure: relaxed

Results
As for the distance to the lowest polymorph of the same formula: 69 meV/atom.

Unit cell a=7.0279 b=7.0279 c=7.0279 alpha=90.00 beta=90.00 gamma=90.00
Last column: nearest neighbours and their distance in Å.
Space group F-43m (No. 216)
Unique sites:
Nd  0.0000  0.0000  0.0000 x4  4 Ni 3.04, 4 Pd 3.04
Dy  0.0000  0.0000  0.5000 x4  4 Ni 3.04, 4 Pd 3.04
Ni  0.2500  0.2500  0.2500 x4  4 Dy 3.04, 4 Nd 3.04
Pd  0.2500  0.2500  0.7500 x4  4 Dy 3.04, 4 Nd 3.04

3.
Compound: NdDyNiPt
Source: Alexandria via LeMat-Bulk
Functional: PBE-GGA
Structure: relaxed

Results
As for the distance to the lowest polymorph of the same formula: 90 meV/atom.

Unit cell a=7.0144 b=7.0144 c=7.0144 alpha=90.00 beta=90.00 gamma=90.00
Last column: nearest neighbours and their distance in Å.
Space group F-43m (No. 216)
Unique sites:
Nd  0.0000  0.0000  0.0000 x4  4 Ni 3.04, 4 Pt 3.04
Dy  0.0000  0.0000  0.5000 x4  4 Ni 3.04, 4 Pt 3.04
Ni  0.2500  0.2500  0.2500 x4  4 Dy 3.04, 4 Nd 3.04
Pt  0.2500  0.2500  0.7500 x4  4 Dy 3.04, 4 Nd 3.04

4.
Compound: NdDyNiPt
Source: Alexandria via LeMat-Bulk
Functional: PBE-GGA
Structure: relaxed

Results
As for the distance to the lowest polymorph of the same formula: 0 meV/atom.

Unit cell a=4.4422 b=3.8954 c=10.3311 alpha=90.00 beta=90.00 gamma=90.00
Last column: nearest neighbours and their distance in Å.
Space group Amm2 (No. 38)
Unique sites:
Nd  0.0000  0.0000  0.0000 x2  3 Ni 2.87-3.01, 4 Pt 3.04
Dy  0.5000  0.0000  0.2801 x2  3 Pt 2.93-2.97, 4 Ni 3.01
Ni  0.0000  0.0000  0.7226 x2  2 Pt 2.74, 3 Nd 2.87-3.01, 4 Dy 3.01
Pt  0.5000  0.0000  0.5676 x2  2 Ni 2.74, 3 Dy 2.93-2.97, 4 Nd 3.04

5.
Compound: NdDyNiRh
Source: Alexandria via LeMat-Bulk
Functional: PBE-GGA
Structure: relaxed

Results
As for the distance to the lowest polymorph of the same formula: 0 meV/atom.

Unit cell a=4.1254 b=3.8919 c=10.8143 alpha=90.00 beta=90.00 gamma=90.00
Last column: nearest neighbours and their distance in Å.
Space group Amm2 (No. 38)
Unique sites:
Nd  0.0000  0.0000  0.0000 x2  4 Ni 2.93, 3 Rh 2.98-3.11
Dy  0.5000  0.0000  0.7193 x2  4 Rh 2.90, 3 Ni 3.01-3.11
Ni  0.5000  0.0000  0.4320 x2  2 Rh 2.67, 4 Nd 2.93
Rh  0.0000  0.0000  0.2757 x2  2 Ni 2.67, 4 Dy 2.90, 1 Nd 2.98

6.
Compound: NdDyNiRh
Source: Alexandria via LeMat-Bulk
Functional: PBE-GGA
Structure: relaxed

Results
As for the distance to the lowest polymorph of the same formula: 61 meV/atom.

Unit cell a=6.9383 b=6.9383 c=6.9383 alpha=90.00 beta=90.00 gamma=90.00
Last column: nearest neighbours and their distance in Å.
Space group F-43m (No. 216)
Unique sites:
Nd  0.0000  0.0000  0.0000 x4  4 Ni 3.00, 4 Rh 3.00
Dy  0.0000  0.0000  0.5000 x4  4 Ni 3.00, 4 Rh 3.00
Ni  0.2500  0.2500  0.2500 x4  4 Dy 3.00, 4 Nd 3.00
Rh  0.2500  0.2500  0.7500 x4  4 Dy 3.00, 4 Nd 3.00

7.
Compound: NdDyNiRu
Source: Alexandria via LeMat-Bulk
Functional: PBE-GGA
Structure: relaxed

Results
As for the distance to the lowest polymorph of the same formula: 0 meV/atom.

Unit cell a=4.0420 b=4.0197 c=10.7201 alpha=90.00 beta=90.00 gamma=90.00
Last column: nearest neighbours and their distance in Å.
Space group Amm2 (No. 38)
Unique sites:
Nd  0.0000  0.0000  0.0000 x2  4 Ni 2.98, 3 Ru 3.02-3.08
Dy  0.5000  0.0000  0.2861 x2  4 Ru 2.94, 3 Ni 2.99-3.15
Ni  0.5000  0.0000  0.5800 x2  2 Ru 2.51
Ru  0.0000  0.0000  0.7182 x2  2 Ni 2.51

8.
Compound: NdDyNiRu
Source: Alexandria via LeMat-Bulk
Functional: PBE-GGA
Structure: relaxed

Results
As for the distance to the lowest polymorph of the same formula: 27 meV/atom.

Unit cell a=6.9026 b=6.9026 c=6.9026 alpha=90.00 beta=90.00 gamma=90.00
Last column: nearest neighbours and their distance in Å.
Space group F-43m (No. 216)
Unique sites:
Nd  0.0000  0.0000  0.0000 x4  4 Ni 2.99, 4 Ru 2.99
Dy  0.0000  0.0000  0.5000 x4  4 Ru 2.99, 4 Ni 2.99
Ni  0.2500  0.2500  0.7500 x4  4 Dy 2.99, 4 Nd 2.99
Ru  0.2500  0.2500  0.2500 x4  4 Dy 2.99, 4 Nd 2.99

Number 1: Fermi-level density of states 0.61 states/eV/atom, formation energy from the elements -0.6022 eV per atom. Number 2: Fermi-level density of states 1.04 states/eV/atom, formation energy from the elements -0.5331 eV per atom. Number 3: Fermi-level density of states 1.00 states/eV/atom, formation energy from the elements -0.7071 eV per atom. Number 4: Fermi-level density of states 0.63 states/eV/atom, formation energy from the elements -0.7971 eV per atom. Number 5: Fermi-level density of states 0.63 states/eV/atom, formation energy from the elements -0.5811 eV per atom. Number 6: Fermi-level density of states 0.77 states/eV/atom, formation energy from the elements -0.5204 eV per atom. Number 7: Fermi-level density of states 0.87 states/eV/atom, formation energy from the elements -0.2981 eV per atom. Number 8: Fermi-level density of states 0.81 states/eV/atom, formation energy from the elements -0.2706 eV per atom.